# PBE+U Li3Fe4Si6O20, relaxed
data_Li3Fe4Si6O20
_chemical_formula_sum 'Li3 Fe4 Si6 O20'
_space_group_name_H-M_alt 'P 1'
_space_group_IT_number 1
_cell_length_a 5.4528
_cell_length_b 5.5268
_cell_length_c 16.7602
_cell_angle_alpha 87.44
_cell_angle_beta 89.38
_cell_angle_gamma 60.47
loop_
_space_group_symop_operation_xyz
'x,y,z'
loop_
_atom_site_label
_atom_site_type_symbol
_atom_site_fract_x
_atom_site_fract_y
_atom_site_fract_z
_atom_site_occupancy
Li1 Li 0.0000 0.0000 0.0000 1
Li2 Li 0.0179 0.0266 0.7005 1
Li3 Li 0.5315 0.9084 0.3997 1
Fe1 Fe 0.1602 0.2459 0.5384 1
Fe2 Fe 0.1868 0.5883 0.3735 1
Fe3 Fe 0.3378 0.3096 0.0261 1
Fe4 Fe 0.9633 0.6593 0.8693 1
Si1 Si 0.0071 0.4507 0.1998 1
Si2 Si 0.2994 0.4423 0.7026 1
Si3 Si 0.4727 0.5932 0.5465 1
Si4 Si 0.6287 0.3123 0.8526 1
Si5 Si 0.6714 0.6500 0.0517 1
Si6 Si 0.8628 0.2507 0.3482 1
O1 O 0.0606 0.6680 0.7591 1
O2 O 0.1211 0.2707 0.3945 1
O3 O 0.1296 0.5917 0.2602 1
O4 O 0.2163 0.2428 0.6548 1
O5 O 0.2507 0.5271 0.4970 1
O6 O 0.2725 0.3083 0.1389 1
O7 O 0.3424 0.3626 0.9020 1
O8 O 0.3492 0.6498 0.6384 1
O9 O 0.3873 0.9373 0.0217 1
O10 O 0.4485 0.8830 0.5117 1
O11 O 0.5645 0.5332 0.3661 1
O12 O 0.5950 0.2586 0.7566 1
O13 O 0.6576 0.3668 0.0347 1
O14 O 0.6727 0.5782 0.8598 1
O15 O 0.7254 0.6660 0.1472 1
O16 O 0.7862 0.3260 0.5463 1
O17 O 0.8652 0.9619 0.3781 1
O18 O 0.8945 0.0262 0.8887 1
O19 O 0.9335 0.2379 0.2521 1
O20 O 0.9527 0.6305 0.0043 1
# Size of the total moment in μB per atom: 0.574
# Energy in eV/atom: -7.057
# Density of states at the Fermi level in states/eV/atom: 0.18